The following is a DFT calculation (PBE with a Hubbard U) of a relaxed structure of Rb3CoO2.

calculated density = 3.82 Mg/m³
calculated total energy = -4.002 eV per atom

Cell: 6.8016 9.8600 9.7097 Å, 90.00 111.94 90.00°
Closest atoms and distances in Å follow each position.
Space group P2_1/c (No. 14)
Asymmetric unit:
Rb (0.2385, 0.0308, 0.3746) x4  3 O 2.93-3.17
Rb (0.2540, 0.0367, 0.9962) x4  3 O 2.88-2.95
Rb (0.2571, 0.7075, 0.1870) x4  4 O 2.87-3.02
Co (0.2084, 0.1782, 0.6739) x4  2 O 1.78
O (0.0020, 0.7011, 0.3795) x4  1 Co 1.78
O (0.4261, 0.0631, 0.7253) x4  1 Co 1.78